As2PtCl | GGA-PBE | relaxed

Calculated values
Total DFT energy (no corrections)   -3.95 eV per atom
Relative energy among the computed polymorphs   705 meV/atom
Spin magnetization   0.0 Bohr magnetons per cell
ΔE_f (raw)   351 meV per atom
Crystal system   orthorhombic

Cell: 3.025 4.257 6.094 Å, 90.00 90.00 90.00°
Fractional coordinates of all 4 atoms:
1 As 0.000 0.000 0.000
2 As 0.500 0.000 0.500
3 Pt 0.000 0.500 0.500
4 Cl 0.500 0.500 0.000